1.
Material: ZnCd3
Method: DFT, PBE
State: relaxed

Cell lengths 5.239, 3.102, 5.121 Å; angles 90.00, 90.00, 90.00 degrees
Positions (direct):
Cd (0.500, 0.500, 0.173)
Cd (0.000, 0.500, 0.499)
Cd (0.000, 0.000, 0.991)
Zn (0.500, 0.000, 0.671)

Results
raw total energy: -3.78 eV/cell
D(E_F): 0.98 states/eV/f.u.
total magnetization: 0.00 μB per formula unit


2.
Material: AlFe6Co
Method: DFT, PBE
State: relaxed

Cell lengths 6.355, 6.355, 11.406 Å; angles 90.00, 90.00, 125.23 degrees
Positions (direct):
Fe (0.617, 0.871, 0.627)
Fe (0.129, 0.383, 0.873)
Fe (0.619, 0.865, 0.377)
Fe (0.754, 0.246, 0.001)
Fe (0.129, 0.383, 0.627)
Fe (0.135, 0.381, 0.123)
Fe (0.381, 0.135, 0.123)
Fe (0.000, 0.000, 0.750)
Fe (0.871, 0.617, 0.627)
Fe (0.246, 0.754, 0.499)
Fe (0.871, 0.617, 0.873)
Fe (0.383, 0.129, 0.873)
Fe (0.246, 0.754, 0.001)
Fe (0.500, 0.500, 0.250)
Fe (0.381, 0.135, 0.377)
Fe (0.617, 0.871, 0.873)
Fe (0.865, 0.619, 0.377)
Fe (0.865, 0.619, 0.123)
Fe (0.754, 0.246, 0.499)
Fe (0.135, 0.381, 0.377)
Fe (0.500, 0.500, 0.750)
Fe (0.619, 0.865, 0.123)
Fe (0.000, 0.000, 0.250)
Fe (0.383, 0.129, 0.627)
Al (0.245, 0.755, 0.250)
Al (0.000, 0.000, 0.503)
Al (0.755, 0.245, 0.250)
Al (0.000, 0.000, 0.997)
Co (0.500, 0.500, 0.503)
Co (0.751, 0.249, 0.750)
Co (0.500, 0.500, 0.997)
Co (0.249, 0.751, 0.750)

Results
raw total energy: -249.71 eV/cell
D(E_F): 6.11 states/eV/f.u.
total magnetization: 15.80 μB per formula unit


3.
Material: Sr4CeIn5
Method: DFT, PBE
State: relaxed

Cell lengths 4.027, 4.027, 20.243 Å; angles 90.00, 90.00, 90.00 degrees
Positions (direct):
In (0.500, 0.500, 0.090)
In (0.500, 0.500, 0.910)
In (0.500, 0.500, 0.702)
In (0.500, 0.500, 0.298)
In (0.500, 0.500, 0.500)
Ce (0.000, 0.000, 0.000)
Sr (0.000, 0.000, 0.804)
Sr (0.000, 0.000, 0.196)
Sr (0.000, 0.000, 0.602)
Sr (0.000, 0.000, 0.398)

Results
raw total energy: -30.32 eV/cell
D(E_F): 13.21 states/eV/f.u.
total magnetization: 1.00 μB per formula unit


4.
Material: LaMg2Au3
Method: DFT, PBE
State: relaxed

Cell lengths 5.889, 6.976, 6.976 Å; angles 108.50, 90.00, 90.00 degrees
Positions (direct):
Mg (0.000, 0.794, 0.206)
Mg (0.500, 0.794, 0.206)
Mg (0.000, 0.206, 0.794)
Mg (0.500, 0.206, 0.794)
Au (0.750, 0.466, 0.182)
Au (0.250, 0.534, 0.818)
Au (0.750, 0.182, 0.466)
Au (0.250, 0.818, 0.534)
Au (0.750, 0.041, 0.041)
Au (0.250, 0.959, 0.959)
La (0.750, 0.668, 0.668)
La (0.250, 0.332, 0.332)

Results
raw total energy: -43.55 eV/cell
D(E_F): 2.11 states/eV/f.u.
total magnetization: 0.00 μB per formula unit


5.
Material: RbH2RuI
Method: DFT, PBE
State: relaxed

Cell lengths 4.462, 5.238, 4.462 Å; angles 90.00, 90.00, 90.00 degrees
Positions (direct):
H (0.000, 0.000, 0.500)
H (0.500, 0.000, 0.000)
I (0.000, 0.500, 0.000)
Ru (0.000, 0.000, 0.000)
Rb (0.500, 0.500, 0.500)

Results
raw total energy: -16.41 eV/cell
D(E_F): 2.52 states/eV/f.u.
total magnetization: 1.38 μB per formula unit


6.
Material: Li2CeSc2S6
Method: DFT, PBE
State: relaxed

Cell lengths 6.619, 6.619, 6.492 Å; angles 99.77, 99.77, 120.39 degrees
Positions (direct):
Ce (0.000, 0.000, 0.500)
S (0.576, 0.927, 0.262)
S (0.738, 0.738, 0.739)
S (0.424, 0.073, 0.738)
S (0.073, 0.424, 0.738)
S (0.927, 0.576, 0.262)
S (0.262, 0.262, 0.261)
Li (0.170, 0.830, 0.000)
Li (0.830, 0.170, 0.000)
Sc (0.666, 0.334, 0.500)
Sc (0.334, 0.666, 0.500)

Results
E_form (uncorrected): -1.729 eV/atom
raw total energy: -66.21 eV/cell
total magnetization: 0.00 μB per formula unit


Question: Which of these has the highest total magnetization?
Answer: AlFe6Co


Question: What is the formula in the fifth record?
Answer: RbH2RuI


Question: Among the records above, which one has the highest raw total energy?
Answer: ZnCd3


Question: Which formula does entry 6 have?
Answer: Li2CeSc2S6